VASP calculation (PBE) on an optimized crystal structure of HgRu2Cl.

## Properties
**M_tot**: 0.000 μB/cell
**Final energy**: -4.461 eV/atom
**Formation energy (no corrections)**: 714 meV/atom

```
HgRu2Cl
1.0
4.343 0.003 -0.003
3.350 2.765 -0.003
1.056 0.380 5.622
Ru Cl Hg
2 1 1
direct
0.004 0.004 0.939
0.496 0.496 0.561
0.750 0.750 0.750
0.250 0.250 0.250
```

VASP calculation (PBE) on an optimized crystal structure of PmS4Cl.

## Properties
**M_tot**: 0.000 μB/cell
**Final energy**: -4.526 eV/atom
**Formation energy (no corrections)**: -675 meV/atom

```
PmS4Cl
1.0
-3.104 4.238 0.413
-2.797 -2.328 -3.797
-7.200 -6.126 5.414
S Cl Pm
8 2 2
direct
0.116 0.982 0.433
0.999 0.745 0.002
0.616 0.415 0.567
0.001 0.255 0.998
0.499 0.747 0.998
0.884 0.018 0.567
0.384 0.585 0.433
0.501 0.253 0.002
0.250 0.637 0.727
0.750 0.363 0.273
0.750 0.895 0.210
0.250 0.105 0.790
```

VASP calculation (PBE) on an optimized crystal structure of Pa2BC.

## Properties
**M_tot**: 0.000 μB/cell
**Final energy**: -9.058 eV/atom
**Formation energy**: -1.3 eV/f.u.

```
Pa2BC
1.0
3.388 0.000 0.000
0.000 3.685 -0.654
0.000 -0.058 10.375
C Pa B
2 4 2
direct
0.750 0.809 0.618
0.250 0.191 0.382
0.250 0.072 0.144
0.750 0.690 0.380
0.250 0.310 0.620
0.750 0.928 0.856
0.750 0.521 0.041
0.250 0.479 0.959
```

VASP calculation (PBE) on an optimized crystal structure of SrTl2Cd.

## Properties
**M_tot**: 0.000 μB/cell
**Final energy**: -2.095 eV/atom
**Formation energy**: -1.1 eV/f.u.

```
SrTl2Cd
1.0
-4.730 -2.011 -0.094
0.472 -1.484 7.983
-4.541 10.577 2.235
Tl Sr Cd
8 4 4
direct
0.750 0.035 0.907
0.750 0.180 0.462
0.750 0.680 0.038
0.250 0.320 0.962
0.250 0.820 0.538
0.750 0.535 0.593
0.250 0.965 0.093
0.250 0.465 0.407
0.750 0.281 0.169
0.250 0.219 0.669
0.750 0.781 0.331
0.250 0.719 0.831
0.750 0.420 0.841
0.250 0.080 0.341
0.750 0.920 0.659
0.250 0.580 0.159
```

VASP calculation (PBE) on an optimized crystal structure of MnCd3Pd6.

## Properties
**M_tot**: 9.289 μB/cell
**Final energy**: -4.616 eV/atom
**Formation energy**: -3.1 eV/f.u.

```
MnCd3Pd6
1.0
-3.979 -2.377 -0.121
3.950 -6.619 0.151
-1.972 2.830 9.234
Pd Cd Mn
12 6 2
direct
0.750 0.761 0.514
0.750 0.846 0.815
0.250 0.154 0.185
0.250 0.239 0.486
0.250 0.863 0.300
0.750 0.137 0.700
0.250 0.671 0.684
0.750 0.543 0.918
0.250 0.058 0.872
0.750 0.329 0.316
0.750 0.942 0.128
0.250 0.457 0.082
0.250 0.543 0.386
0.250 0.773 0.989
0.750 0.640 0.215
0.250 0.360 0.785
0.750 0.227 0.011
0.750 0.457 0.614
0.250 0.955 0.588
0.750 0.045 0.412
```

VASP calculation (PBE) on an optimized crystal structure of Sr2BiHI.

## Properties
**M_tot**: 0.000 μB/cell
**Final energy**: -2.933 eV/atom

```
Sr2BiHI
1.0
-1.279 4.170 -3.904
0.763 -2.850 -3.294
-5.623 -1.626 0.105
H I Sr Bi
1 1 2 1
direct
0.000 0.000 0.000
0.000 0.500 0.000
0.500 0.000 0.000
0.000 0.000 0.500
0.500 0.500 0.500
```

VASP calculation (PBE) on an optimized crystal structure of SmAlCd2.

## Properties
**M_tot**: 0.000 μB/cell
**Final energy**: -2.760 eV/atom
**Formation energy**: -0.7 eV/f.u.

```
SmAlCd2
1.0
5.072 0.000 0.000
2.536 4.393 0.000
2.536 1.464 4.142
Al Sm Cd
1 1 2
direct
0.000 0.000 0.000
0.500 0.500 0.500
0.750 0.750 0.750
0.250 0.250 0.250
```

VASP calculation (PBE) on an optimized crystal structure of NiAsBr.

## Properties
**M_tot**: 0.000 μB/cell
**Final energy**: -3.647 eV/atom
**Formation energy (no corrections)**: 388 meV/atom

```
NiAsBr
1.0
4.352 0.000 0.000
2.176 3.769 0.000
2.176 1.256 3.553
Ni As Br
1 1 1
direct
0.750 0.750 0.750
0.000 0.000 0.000
0.500 0.500 0.500
```

Repeat the seventh record exactly.
VASP calculation (PBE) on an optimized crystal structure of SmAlCd2.

## Properties
**M_tot**: 0.000 μB/cell
**Final energy**: -2.760 eV/atom
**Formation energy**: -0.7 eV/f.u.

```
SmAlCd2
1.0
5.072 0.000 0.000
2.536 4.393 0.000
2.536 1.464 4.142
Al Sm Cd
1 1 2
direct
0.000 0.000 0.000
0.500 0.500 0.500
0.750 0.750 0.750
0.250 0.250 0.250
```

Q: Number 8 is which compound?
A: NiAsBr

Repeat the sixth record exactly.
VASP calculation (PBE) on an optimized crystal structure of Sr2BiHI.

## Properties
**M_tot**: 0.000 μB/cell
**Final energy**: -2.933 eV/atom

```
Sr2BiHI
1.0
-1.279 4.170 -3.904
0.763 -2.850 -3.294
-5.623 -1.626 0.105
H I Sr Bi
1 1 2 1
direct
0.000 0.000 0.000
0.000 0.500 0.000
0.500 0.000 0.000
0.000 0.000 0.500
0.500 0.500 0.500
```

Q: Which of these has the lowest final energy?
A: Pa2BC